VASP calculation (PBE) on K4HfZr3S8 after structural relaxation. Values from VASP.

Cell and atoms, written as Quantum ESPRESSO input:
```
&SYSTEM
  ibrav = 0, nat = 16, ntyp = 4
/
ATOMIC_SPECIES
K 39.10 K.upf
Hf 178.49 Hf.upf
Zr 91.22 Zr.upf
S 32.06 S.upf
CELL_PARAMETERS angstrom
7.487 0.000 0.000
0.000 8.599 0.784
-3.744 -3.741 5.291
ATOMIC_POSITIONS angstrom
K 3.744 0.000 0.000
K 1.872 -1.871 2.646
K 0.000 0.000 0.000
K -1.872 -1.871 2.646
Hf 0.000 4.299 0.392
Zr 3.744 4.299 0.392
Zr 1.872 2.429 3.038
Zr -1.872 2.429 3.038
S -1.899 2.397 5.677
S 0.000 4.295 2.993
S 0.000 0.565 3.047
S 1.899 2.397 5.677
S 1.845 2.460 0.399
S 3.744 4.292 3.029
S 3.744 0.562 3.082
S 5.642 2.460 0.399
```

Computed properties:
Density   4.0 g/cm³
Space group   C2/m (12)
ΔE_f (raw)   -1.496 eV per atom
Magnetization   0.00 μB per atom

VASP calculation (PBE) on K3HfSb after structural relaxation. Values from VASP.

Cell and atoms, written as Quantum ESPRESSO input:
```
&SYSTEM
  ibrav = 0, nat = 5, ntyp = 3
/
ATOMIC_SPECIES
Sb 121.76 Sb.upf
K 39.10 K.upf
Hf 178.49 Hf.upf
CELL_PARAMETERS angstrom
6.663 0.000 0.000
0.000 6.663 0.000
0.000 0.000 6.663
ATOMIC_POSITIONS angstrom
Sb 0.000 0.000 0.000
K 0.000 3.332 0.000
K 0.000 0.000 3.332
K 3.332 0.000 0.000
Hf 3.332 3.332 3.332
```

Computed properties:
Distance to the lowest polymorph of the same formula   0.000 eV per atom
Density   2.3 g/cm³
Space group   Pm-3m (221)
ΔE_f (raw)   0.897 eV per atom
Magnetization   0.40 μB per atom

VASP calculation (PBE) on KHfSb2 after structural relaxation. Values from VASP.

Cell and atoms, written as Quantum ESPRESSO input:
```
&SYSTEM
  ibrav = 0, nat = 4, ntyp = 3
/
ATOMIC_SPECIES
Sb 121.76 Sb.upf
K 39.10 K.upf
Hf 178.49 Hf.upf
CELL_PARAMETERS angstrom
3.986 0.000 0.000
1.993 3.452 0.000
1.993 1.151 8.988
ATOMIC_POSITIONS angstrom
Sb 1.993 1.151 1.821
Sb 5.979 3.452 7.167
K 3.986 2.301 4.494
Hf 0.000 0.000 0.000
```

Computed properties:
Distance to the lowest polymorph of the same formula   0.000 eV per atom
Density   6.2 g/cm³
Space group   R-3m (166)
ΔE_f (raw)   -0.395 eV per atom
Magnetization   0.00 μB per atom